# 1
Material: TmReTc2
Method: DFT, PBE
State: optimized geometry

a = 4.529 Å, b = 4.529 Å, c = 4.529 Å
α = 60.00°, β = 60.00°, γ = 60.00°
Atoms (fractional coordinates):
Tm 0.000 0.000 0.000
Re 0.500 0.500 0.500
Tc 0.250 0.250 0.250
Tc 0.750 0.750 0.750

Values from the calculation:
* calculated density: 13.9 Mg/m³
* energy: -9.404 eV per atom
* SG: Fm-3m
* D(E_F): 2.43 states/eV per cell

=====

# 2
Material: TmReTc2
Method: DFT, PBE
State: optimized geometry

a = 4.702 Å, b = 4.702 Å, c = 9.168 Å
α = 104.79°, β = 104.79°, γ = 90.18°
Atoms (fractional coordinates):
Tm 0.125 0.875 0.750
Tm 0.875 0.125 0.250
Re 0.375 0.625 0.250
Re 0.625 0.375 0.750
Tc 0.000 0.500 0.000
Tc 0.500 0.000 0.500
Tc 0.500 0.500 0.000
Tc 0.500 0.500 0.500

Values from the calculation:
* calculated density: 9.7 Mg/m³
* energy: -8.511 eV per atom
* SG: C2/c
* D(E_F): 5.64 states/eV per cell

=====

Look up the energy of the first one. -9.404 eV per atom